Entry 1:
The following is a DFT calculation (PBE) of Sr2MnFe after structural relaxation.

POSCAR file:
```
Sr2MnFe
1.0
-1.7499 4.0047 2.9820
-5.1706 0.4816 1.0125
-1.8402 -0.9364 4.8712
Fe Mn Sr
1 1 2
Cartesian
-4.3803 1.7749 4.4329
-6.5704 2.6624 6.6493
0.0000 0.0000 0.0000
-2.1901 0.8875 2.2164
```

Properties
For the mass density, the calculation gives 4.54 g/cm3. The value obtained for the relative energy among the computed polymorphs is 487 meV/atom.



Entry 2:
The following is a DFT calculation (PBE) of SrCaSc2 after structural relaxation.

POSCAR file:
```
SrCaSc2
1.0
-0.1041 1.5922 -3.0949
-3.1938 -1.1035 0.8403
-2.1047 10.1040 5.2688
Sc Sr Ca
2 1 1
Cartesian
-2.0874 10.0211 5.2256
-1.0696 5.1349 2.6776
-2.1751 2.7704 0.1899
-3.2275 7.8224 2.8243
```

Properties
For the mass density, the calculation gives 2.73 g/cm3. The value obtained for the relative energy among the computed polymorphs is 184 meV/atom.



Entry 3:
The following is a DFT calculation (PBE) of Ta2CuSb after structural relaxation.

POSCAR file:
```
Ta2CuSb
1.0
-1.1470 -2.3086 2.9368
3.7325 -0.5832 0.9993
0.9013 6.5271 8.0827
Sb Cu Ta
2 2 4
Cartesian
0.0000 0.0000 0.0000
0.5235 1.3863 6.4938
1.2927 -1.4459 1.9681
2.9633 2.2490 5.5250
-0.0244 0.1173 3.9794
2.4141 0.9774 3.0140
1.6476 3.8105 7.5386
2.9361 2.3653 9.5056
```

Properties
The formation energy (no corrections) comes out at 0.498 eV per atom. For the mass density, the calculation gives 11.84 g/cm3.



Entry 4:
The following is a DFT calculation (PBE) of Zr6HPd2 after structural relaxation.

POSCAR file:
```
Zr6HPd2
1.0
-0.0627 -2.1270 5.4723
6.0708 -1.2892 -0.4315
2.0781 8.6815 3.2994
Zr H Pd
12 2 4
Cartesian
6.3597 -0.8617 4.9901
5.3014 1.9764 6.2413
6.2304 5.5269 7.6153
2.3569 3.1233 5.1468
3.1385 6.7051 6.5312
3.3349 0.1539 4.2461
1.7265 6.1270 3.3500
2.7849 3.2889 2.0989
1.8558 -0.2616 0.7249
5.7294 2.1421 3.1934
4.9477 -1.4398 1.8090
4.7514 5.1114 4.0941
3.0040 -1.7081 2.5204
1.0391 4.3408 1.6497
3.8712 4.1542 7.1293
6.9148 4.0291 5.4765
1.1714 1.2362 2.8637
4.2150 1.1112 1.2109
```

Properties
Its energy is -135.8 eV/cell. For the mass density, the calculation gives 7.27 g/cm3.